DFT (PBE-GGA) results for crystalline RbAgSb3 at its relaxed geometry.

The energy relative to the lowest polymorph listed for this composition is 0.000 eV per atom. The calculation puts the total energy at -2.9875 eV/atom. Its raw formation energy is 0.250 eV/atom. The value obtained for the total moment is 0.00 μB per atom.

The structure belongs to space group Pm-3m (No. 221); the cell edges are 5.555, 5.555 and 5.555 Å and the angles 90.00°, 90.00° and 90.00°. Symmetry generates all atoms from Rb at (0.000, 0.000, 0.000), Ag at (0.500, 0.500, 0.500) and Sb at (0.000, 0.500, 0.500).

***

DFT (PBE-GGA) results for crystalline Rb2AgSb at its relaxed geometry.

The calculation puts the total energy at -2.3807 eV/atom. Its raw formation energy is -0.153 eV/atom. The value obtained for the total moment is 0.00 μB per atom.

The structure belongs to space group I-42d (No. 122); the cell edges are 13.354, 13.354 and 5.199 Å and the angles 90.00°, 90.00° and 90.00°. Symmetry generates all atoms from Rb at (0.044, 0.250, 0.125), Ag at (0.000, 0.000, 0.000) and Sb at (0.000, 0.000, 0.500).

***

DFT (PBE-GGA) results for crystalline Rb2Ag5Sb4 at its relaxed geometry.

The calculation puts the total energy at -3.0514 eV/atom. Its raw formation energy is -0.080 eV/atom. The value obtained for the total moment is 0.00 μB per atom.

The structure belongs to space group Fmmm (No. 69); the cell edges are 6.517, 13.281 and 15.650 Å and the angles 90.00°, 90.00° and 90.00°. Symmetry generates all atoms from Rb at (0.000, 0.152, 0.000), Ag at (0.000, 0.000, 0.500), Ag at (0.250, 0.000, 0.250), Ag at (0.250, 0.250, 0.250) and Sb at (0.000, 0.125, 0.355).